(1)
Entry from Alexandria via LeMat-Bulk: a relaxed Cu2PBr crystal (PBE-GGA).

- ΔE_f (raw): 0.030 eV/atom
- Excess energy over the best structure of this formula in the dataset: 43 meV/atom

Lattice parameters (Å, degrees): 2.951 3.656 6.782 90.00 90.00 90.00
Space group Pmm2 (No. 25)
Unique sites:
Cu: 0.000 0.000 0.000 [1 per cell]
Cu: 0.000 0.500 0.346 [1 per cell]
P: 0.500 0.500 0.087 [1 per cell]
Br: 0.000 0.000 0.601 [1 per cell]

(2)
Entry from Alexandria via LeMat-Bulk: a relaxed VInRh crystal (PBE-GGA).

- Formation enthalpy at 0 K: -186 meV/atom

Lattice parameters (Å, degrees): 2.961 2.961 11.104 90.00 90.00 90.00
Space group I4mm (No. 107)
Unique sites:
V: 0.000 0.000 0.000 [2 per cell]
In: 0.000 0.000 0.315 [2 per cell]
Rh: 0.000 0.000 0.632 [2 per cell]

(3)
Entry from Alexandria via LeMat-Bulk: a relaxed LiPmPrZn crystal (PBE-GGA).

- Formation enthalpy at 0 K: -106 meV/atom
- Excess energy over the best structure of this formula in the dataset: 14 meV/atom

Lattice parameters (Å, degrees): 7.462 7.462 7.462 90.00 90.00 90.00
Space group F-43m (No. 216)
Unique sites:
Li: 0.000 0.000 0.000 [4 per cell]
Pm: 0.250 0.250 0.250 [4 per cell]
Pr: 0.250 0.250 0.750 [4 per cell]
Zn: 0.000 0.000 0.500 [4 per cell]

(4)
Entry from Alexandria via LeMat-Bulk: a relaxed ZnTe3Pd crystal (PBE-GGA).

- ΔE_f (raw): 0.673 eV/atom
- Excess energy over the best structure of this formula in the dataset: 266 meV/atom

Lattice parameters (Å, degrees): 5.243 5.243 5.243 90.00 90.00 90.00
Space group Pm-3m (No. 221)
Unique sites:
Zn: 0.000 0.000 0.000 [1 per cell]
Te: 0.000 0.000 0.500 [3 per cell]
Pd: 0.500 0.500 0.500 [1 per cell]

(5)
Entry from Alexandria via LeMat-Bulk: a relaxed YOsAu3 crystal (PBE-GGA).

- Formation enthalpy at 0 K: 552 meV/atom
- Excess energy over the best structure of this formula in the dataset: 0 meV/atom

Lattice parameters (Å, degrees): 5.003 5.003 5.003 90.00 90.00 90.00
Space group Pm-3m (No. 221)
Unique sites:
Y: 0.000 0.000 0.000 [1 per cell]
Os: 0.500 0.500 0.500 [1 per cell]
Au: 0.000 0.500 0.500 [3 per cell]

(6)
Entry from Alexandria via LeMat-Bulk: a relaxed B2Mo2Os crystal (PBE-GGA).

- Formation enthalpy at 0 K: -252 meV/atom
- Excess energy over the best structure of this formula in the dataset: 104 meV/atom

Lattice parameters (Å, degrees): 6.012 6.012 3.130 90.00 90.00 90.00
Space group P4/mbm (No. 127)
Unique sites:
B: 0.113 0.387 0.000 [4 per cell]
Mo: 0.169 0.669 0.500 [4 per cell]
Os: 0.000 0.000 0.000 [2 per cell]

(7)
Entry from Alexandria via LeMat-Bulk: a relaxed SrPm2P2N6 crystal (PBE-GGA).

- ΔE_f (raw): -1.048 eV/atom

Lattice parameters (Å, degrees): 5.569 6.051 6.144 119.32 101.40 101.15
Space group P-1 (No. 2)
Unique sites:
Sr: 0.000 0.000 0.000 [1 per cell]
Pm: 0.229 0.735 0.442 [2 per cell]
P: 0.360 0.459 0.798 [2 per cell]
N: 0.209 0.652 0.776 [2 per cell]
N: 0.298 0.179 0.512 [2 per cell]
N: 0.311 0.404 0.039 [2 per cell]

(8)
Entry from Alexandria via LeMat-Bulk: a relaxed Sc2In3Pt crystal (PBE-GGA).

- Formation enthalpy at 0 K: -511 meV/atom

Lattice parameters (Å, degrees): 3.334 4.786 8.182 90.00 90.00 90.00
Space group Pmm2 (No. 25)
Unique sites:
Sc: 0.000 0.000 0.000 [1 per cell]
Sc: 0.000 0.500 0.441 [1 per cell]
In: 0.500 0.000 0.614 [1 per cell]
In: 0.500 0.500 0.134 [1 per cell]
In: 0.500 0.500 0.792 [1 per cell]
Pt: 0.500 0.000 0.286 [1 per cell]

(9)
Entry from Alexandria via LeMat-Bulk: a relaxed TbNdAl2 crystal (PBE-GGA).

- Formation enthalpy at 0 K: -377 meV/atom
- Excess energy over the best structure of this formula in the dataset: 0 meV/atom

Lattice parameters (Å, degrees): 3.675 3.675 7.328 90.00 90.00 90.00
Space group P4/mmm (No. 123)
Unique sites:
Tb: 0.000 0.000 0.000 [1 per cell]
Nd: 0.000 0.000 0.500 [1 per cell]
Al: 0.500 0.500 0.237 [2 per cell]

(10)
Entry from Alexandria via LeMat-Bulk: a relaxed BaCeSn2Pd2 crystal (PBE-GGA).

- Formation enthalpy at 0 K: -773 meV/atom

Lattice parameters (Å, degrees): 4.8426 4.8426 7.9965 90.00 90.00 120.00
Space group P-3m1 (No. 164)
Unique sites:
Ba: 0.0000 0.0000 0.0000 [1 per cell]
Ce: 0.0000 0.0000 0.5000 [1 per cell]
Sn: 0.3333 0.6667 0.6989 [2 per cell]
Pd: 0.3333 0.6667 0.3232 [2 per cell]

Summary of E_tot in eV per cell
-15.2 -39.5 -52.6 -12.5 -24.8 -95.0 -83.5 -30.0 -18.4 -30.9
(order as listed above)
Summary of mass density in Mg/m³
5.40 9.16 5.73 6.39 11.54 11.85 5.22 8.00 5.99 7.44
(order as listed above)